Below is a geometry-optimized PmTiSb structure, with properties calculated at the PBE level.

a b c (Å): 4.733 4.733 4.051
angles (deg): 90.00 90.00 120.00
Element x y z (fractional)
1 Pm 0.000 0.000 0.000
2 Ti 0.667 0.333 0.500
3 Sb 0.333 0.667 0.500

Properties
raw formation energy: -356 meV per atom
polymorph energy (0 for the lowest one): 44 meV per atom
spin magnetization: 1.96 μB/cell
crystal system: hexagonal
VASP energy: -17.8 eV/cell